A plane-wave DFT calculation with GGA-PBE was carried out for an optimized crystal structure of Rb4CdHg2.

Output
density of states at the Fermi level = 12.397 states/eV per cell
formation enthalpy at 0 K = -5.1 meV per atom
magnetic moment = 0.00 μB per atom
uncorrected energy = -0.775 eV/atom

abc: 6.840 6.840 20.298
angles: 90.00 90.00 90.00
Space group I4/mmm (No. 139)
Asymmetric unit:
Rb 0.000 0.000 0.179 [4 per cell]
Rb 0.000 0.500 0.000 [4 per cell]
Cd 0.000 0.000 0.500 [2 per cell]
Hg 0.000 0.000 0.357 [4 per cell]